Tb2Sm15Er2: optimized geometry, GGA-PBE.

It has space group R-3m (No. 166, hexagonal axes), with a = 11.1510 Å, b = 11.1510 Å, c = 18.1712 Å, α = 90.00°, β = 90.00° and γ = 120.00°. Symmetry generates all atoms from Tb at (0.0000, 0.0000, 0.0922), Sm at (0.0000, 0.2975, 0.0000), Sm at (0.0000, 0.5000, 0.5000), Sm at (0.0238, 0.5119, 0.1312) and Er at (0.0000, 0.0000, 0.3144).

For the formation energy, the calculation gives 5.4 eV per formula unit. The calculation puts the electronic total energy at -4.41 eV per atom.


MgH2N: optimized geometry, GGA-PBE.

It has space group I4_1/amd (No. 141, origin choice 2), with a = 3.044 Å, b = 3.044 Å, c = 12.762 Å, α = 90.00°, β = 90.00° and γ = 90.00°. Symmetry generates all atoms from Mg at (0.000, 0.250, 0.375), H at (0.000, 0.000, 0.000) and N at (0.000, 0.250, 0.875).

The energy above the lowest structure with this stoichiometry is 794 meV/atom. The calculation puts the electronic total energy at -3.72 eV per atom.